1.
{"formula": "Y2HoMg3Ir2Pd", "functional": "PBE-GGA", "state": "optimized geometry", "cell": [[4.011, 0.000, 0.000], [0.000, 6.358, 3.688], [0.000, -6.358, 3.688]], "species": ["Y", "Y", "Ho", "Mg", "Mg", "Mg", "Ir", "Ir", "Pd"], "fractional_positions": [[0.000, 0.208, 0.792], [0.000, 0.792, 0.208], [0.000, 0.377, 0.377], [0.500, 0.041, 0.041], [0.500, 0.542, 0.792], [0.500, 0.792, 0.542], [0.500, 0.128, 0.458], [0.500, 0.458, 0.128], [0.000, 0.790, 0.790]], "e_tot_ev_per_cell": -51.3}


2.
{"formula": "HoTlOs", "functional": "PBE-GGA", "state": "optimized geometry", "cell": [[0.000, 3.307, 3.307], [3.307, 0.000, 3.307], [3.307, 3.307, 0.000]], "species": ["Ho", "Tl", "Os"], "fractional_positions": [[0.000, 0.000, 0.000], [0.250, 0.250, 0.250], [0.500, 0.500, 0.500]], "e_tot_ev_per_cell": -16.1}


3.
{"formula": "NaNiAgW", "functional": "PBE-GGA", "state": "optimized geometry", "cell": [[0.000, 3.112, 3.112], [3.112, 0.000, 3.112], [3.112, 3.112, 0.000]], "species": ["Na", "Ni", "Ag", "W"], "fractional_positions": [[0.000, 0.000, 0.000], [0.500, 0.500, 0.500], [0.250, 0.250, 0.250], [0.750, 0.750, 0.750]], "e_tot_ev_per_cell": -19.0, "polymorph_energy_ev_per_atom": 0.0274}


4.
{"formula": "Nb3TeI7", "functional": "PBE-GGA", "state": "optimized geometry", "cell": [[7.732, 0.000, 0.000], [-3.866, 6.696, 0.000], [0.000, 0.000, 14.469]], "species": ["Nb", "Nb", "Nb", "Nb", "Nb", "Nb", "Te", "Te", "I", "I", "I", "I", "I", "I", "I", "I", "I", "I", "I", "I", "I", "I"], "fractional_positions": [[0.133, 0.265, 0.000], [0.133, 0.867, 0.000], [0.265, 0.133, 0.500], [0.735, 0.867, 0.000], [0.867, 0.133, 0.500], [0.867, 0.735, 0.500], [0.000, 0.000, 0.356], [0.000, 0.000, 0.856], [0.003, 0.502, 0.393], [0.168, 0.336, 0.628], [0.168, 0.832, 0.628], [0.333, 0.667, 0.101], [0.336, 0.168, 0.128], [0.498, 0.502, 0.393], [0.498, 0.997, 0.393], [0.502, 0.003, 0.893], [0.502, 0.498, 0.893], [0.664, 0.832, 0.628], [0.667, 0.333, 0.601], [0.832, 0.168, 0.128], [0.832, 0.664, 0.128], [0.997, 0.498, 0.893]], "e_tot_ev_per_cell": -100.1}


5.
{"formula": "NaZrB4", "functional": "PBE-GGA", "state": "optimized geometry", "cell": [[3.150, 0.000, 0.000], [-1.575, 2.728, 0.000], [0.000, 0.000, 7.744]], "species": ["Na", "Zr", "B", "B", "B", "B"], "fractional_positions": [[0.000, 0.000, 0.000], [0.000, 0.000, 0.500], [0.333, 0.667, 0.276], [0.333, 0.667, 0.724], [0.667, 0.333, 0.276], [0.667, 0.333, 0.724]], "e_tot_ev_per_cell": -38.5, "polymorph_energy_ev_per_atom": 0.0000}


6.
{"formula": "LiHoBi", "functional": "PBE-GGA", "state": "optimized geometry", "cell": [[0.000, 3.517, 3.517], [3.517, 0.000, 3.517], [3.517, 3.517, 0.000]], "species": ["Li", "Ho", "Bi"], "fractional_positions": [[0.000, 0.000, 0.000], [0.500, 0.500, 0.500], [0.750, 0.750, 0.750]], "e_tot_ev_per_cell": -11.8, "polymorph_energy_ev_per_atom": 0.0000}